# 1
This record from the Alexandria database describes a relaxed CeBiS3 crystal. The functional is PBE.

abc: 4.3273 7.0512 13.9168
angles: 129.51 90.00 90.00
Site moments in Bohr magnetons follow the coordinates.
Positions (direct):
S 0.7500 0.1621 0.6318  -0.03
S 0.2500 0.3604 0.3822  -0.02
S 0.2500 0.7594 0.8611  0.00
S 0.7500 0.2406 0.1389  0.00
S 0.7500 0.6396 0.6178  -0.02
S 0.2500 0.8379 0.3682  -0.03
Bi 0.7500 0.9778 0.8618  0.00
Bi 0.2500 0.0222 0.1382  0.00
Ce 0.7500 0.6769 0.4232  0.57
Ce 0.2500 0.3231 0.5768  0.57

* space-group type: P2_1/m
* energy relative to the elements, uncorrected: -1.10 eV per atom
* distance to the lowest polymorph of the same formula: 0 meV per atom

=====

# 2
This record from the Alexandria database describes a relaxed CeBiS3 crystal. The functional is PBE.

abc: 7.1768 7.4958 9.5409
angles: 97.28 90.00 90.00
Site moments in Bohr magnetons follow the coordinates.
Positions (direct):
S 0.0243 0.8431 0.3024  0.00
S 0.4757 0.8431 0.8024  0.00
S 0.9387 0.7084 0.9321  -0.02
S 0.1140 0.6237 0.6077  -0.02
S 0.4387 0.2916 0.5679  -0.02
S 0.6140 0.3763 0.8923  -0.02
S 0.3860 0.6237 0.1077  -0.02
S 0.5613 0.7084 0.4321  -0.02
S 0.5243 0.1569 0.1976  0.00
S 0.9757 0.1569 0.6976  0.00
S 0.8860 0.3763 0.3923  -0.02
S 0.0613 0.2916 0.0679  -0.02
Ce 0.2646 0.4528 0.3426  0.91
Ce 0.7646 0.5472 0.1574  0.91
Ce 0.2354 0.4528 0.8426  0.91
Ce 0.7354 0.5472 0.6574  0.91
Bi 0.7289 0.0678 0.4179  0.04
Bi 0.7711 0.0678 0.9179  0.04
Bi 0.2289 0.9322 0.0821  0.04
Bi 0.2711 0.9322 0.5821  0.04

* space-group type: P2_1/c
* energy relative to the elements, uncorrected: -1.09 eV per atom
* distance to the lowest polymorph of the same formula: 9 meV per atom

=====

# 3
This record from the Alexandria database describes a relaxed Ce2Bi2S7 crystal. The functional is PBE.

abc: 4.0856 8.9436 8.9436
angles: 57.78 76.80 76.80
Site moments in Bohr magnetons follow the coordinates.
Positions (direct):
S 0.1834 0.7061 0.9271  -0.01
S 0.5979 0.5246 0.2796  -0.01
S 0.8781 0.4176 0.8262  -0.01
S 0.1219 0.1738 0.5824  -0.01
S 0.5000 0.0168 0.9832  -0.02
S 0.4021 0.7204 0.4754  -0.01
S 0.8166 0.0729 0.2939  -0.01
Ce 0.0000 0.8072 0.1928  0.27
Ce 0.5000 0.3436 0.6564  0.14
Bi 0.7664 0.7690 0.6981  0.00
Bi 0.2336 0.3019 0.2310  0.00

* space-group type: Imm2
* energy relative to the elements, uncorrected: -1.05 eV per atom

=====

Magnetization? In order: 1.08, 4.07, 0.30 μB per cell.